(1)
This record from Alexandria via LeMat-Bulk describes an optimized crystal structure of InGaH3. The functional is PBE.

SG   Pm-3m, No. 221
Energy   -2.83 eV/atom
Relative energy among the computed polymorphs   0 kJ/mol of formula units

abc: 3.9092 3.9092 3.9092
angles: 90.00 90.00 90.00
Last column: nearest neighbours and their distance in Å.
Element x y z (fractional)
Ga 0.0000 0.0000 0.0000  6 H 1.95
In 0.5000 0.5000 0.5000  12 H 2.76
H 0.5000 0.0000 0.0000  2 Ga 1.95
H 0.0000 0.0000 0.5000  2 Ga 1.95
H 0.0000 0.5000 0.0000  2 Ga 1.95

=====

(2)
This record from Alexandria via LeMat-Bulk describes an optimized crystal structure of InGa2H. The functional is PBE.

SG   I-42d, No. 122
Energy   -2.79 eV/atom
Relative energy among the computed polymorphs   0 kJ/mol of formula units

abc: 4.9768 4.9768 7.0836
angles: 69.43 69.43 90.00
Last column: nearest neighbours and their distance in Å.
Element x y z (fractional)
In 0.7500 0.2500 0.5000  4 Ga 2.82
In 0.0000 0.0000 0.0000  4 Ga 2.82
H 0.2500 0.7500 0.5000  4 Ga 2.03
H 0.5000 0.5000 0.0000  4 Ga 2.03
Ga 0.4698 0.1250 0.2500  2 H 2.03
Ga 0.2802 0.6250 0.2500  2 H 2.03
Ga 0.3750 0.5302 0.7500  2 H 2.03
Ga 0.8750 0.7198 0.7500  2 H 2.03

=====

(3)
This record from Alexandria via LeMat-Bulk describes an optimized crystal structure of LaIn2GaH. The functional is PBE.

SG   P4/mmm, No. 123
Energy   -3.64 eV/atom
Relative energy among the computed polymorphs   0 kJ/mol of formula units

abc: 4.7564 4.7564 4.7037
angles: 90.00 90.00 90.00
Last column: nearest neighbours and their distance in Å.
Element x y z (fractional)
In 0.5000 0.0000 0.0000  2 H 2.38
In 0.0000 0.5000 0.0000  2 H 2.38
H 0.0000 0.0000 0.0000  2 La 2.35, 4 In 2.38
La 0.0000 0.0000 0.5000  2 H 2.35
Ga 0.5000 0.5000 0.5000  8 In 3.34, 4 La 3.36

=====

(4)
This record from Alexandria via LeMat-Bulk describes an optimized crystal structure of LaIn2GaH. The functional is PBE.

SG   P4/mmm, No. 123
Energy   -3.00 eV/atom
Relative energy among the computed polymorphs   311 kJ/mol of formula units

abc: 6.3006 4.1226 6.3006
angles: 90.00 90.00 90.00
Last column: nearest neighbours and their distance in Å.
Element x y z (fractional)
In 0.5000 0.0000 0.0000  2 La 3.15
In 0.0000 0.0000 0.5000  2 La 3.15
La 0.0000 0.0000 0.0000  2 H 2.06
Ga 0.5000 0.5000 0.5000  8 In 3.76, 2 Ga 4.12
H 0.0000 0.5000 0.0000  2 La 2.06

=====

| no. | volume (Å³/cell) | spin magnetization (μB per cell) |
| --- | --- | --- |
| 1 | 59.7 | 0.0 |
| 2 | 152.3 | 0.0 |
| 3 | 106.4 | 0.0 |
| 4 | 163.7 | 0.0 |